[1]
First-principles (PBE) data for an optimized crystal structure of TmCo4C2, as listed in Alexandria via LeMat-Bulk.

Summary:
energy relative to the elements = -0.08 eV per atom
crystal system = orthorhombic
calculated volume = 10.827 Å³ per atom

Unit cell a=3.4540 b=3.4742 c=6.5505 alpha=105.38 beta=90.00 gamma=90.00
With the nearest neighbours (Å) after each atom.
Atoms (fractional coordinates):
Tm (0.0000, 0.0000, 0.0000)  8 Co 2.81-2.85, 8 C 2.83
Co (0.5000, 0.8248, 0.6495)  2 C 1.91
Co (0.0000, 0.6785, 0.3570)  2 C 1.92
Co (0.5000, 0.1752, 0.3505)  2 C 1.91
Co (0.0000, 0.3215, 0.6430)  2 C 1.92
C (0.5000, 0.6128, 0.2255)  4 Co 1.91-1.92
C (0.5000, 0.3872, 0.7745)  4 Co 1.91-1.92

=====

[2]
First-principles (PBE) data for an optimized crystal structure of Pm4Ge, as listed in Alexandria via LeMat-Bulk.

Summary:
energy relative to the elements = -0.23 eV per atom
crystal system = orthorhombic
calculated volume = 32.086 Å³ per atom
polymorph energy (0 for the lowest one) = 0.00 eV/f.u.

Unit cell a=6.8190 b=6.9972 c=7.5803 alpha=117.49 beta=90.00 gamma=90.00
With the nearest neighbours (Å) after each atom.
Atoms (fractional coordinates):
Pm (0.1765, 0.5431, 0.7518)  2 Ge 3.00-3.11, 1 Pm 3.36
Pm (0.1765, 0.4569, 0.2482)  2 Ge 3.00-3.11, 1 Pm 3.36
Pm (0.3235, 0.0431, 0.7518)  2 Ge 3.00-3.11, 1 Pm 3.36
Pm (0.8235, 0.2087, 0.7518)  2 Ge 3.00-3.11, 1 Pm 3.36
Pm (0.6765, 0.2913, 0.2482)  2 Ge 3.00-3.11, 1 Pm 3.36
Pm (0.8235, 0.7913, 0.2482)  2 Ge 3.00-3.11, 1 Pm 3.36
Pm (0.6765, 0.7087, 0.7518)  2 Ge 3.00-3.11, 1 Pm 3.36
Pm (0.3235, 0.9569, 0.2482)  2 Ge 3.00-3.11, 1 Pm 3.36
Ge (0.0000, 0.0000, 0.0000)  8 Pm 3.00-3.11
Ge (0.5000, 0.5000, 0.0000)  8 Pm 3.00-3.11

=====

[3]
First-principles (PBE) data for an optimized crystal structure of ScSnIrPt, as listed in Alexandria via LeMat-Bulk.

Summary:
energy relative to the elements = -0.72 eV per atom
crystal system = cubic
calculated volume = 17.546 Å³ per atom

Unit cell a=4.6300 b=4.6300 c=4.6300 alpha=60.00 beta=60.00 gamma=60.00
With the nearest neighbours (Å) after each atom.
Atoms (fractional coordinates):
Sc (0.0000, 0.0000, 0.0000)  4 Ir 2.84, 4 Pt 2.84
Ir (0.2500, 0.2500, 0.2500)  4 Sc 2.84, 4 Sn 2.84
Sn (0.5000, 0.5000, 0.5000)  4 Ir 2.84, 4 Pt 2.84
Pt (0.7500, 0.7500, 0.7500)  4 Sc 2.84, 4 Sn 2.84

=====

[4]
First-principles (PBE) data for an optimized crystal structure of Tb2PmScIn4, as listed in Alexandria via LeMat-Bulk.

Summary:
energy relative to the elements = -0.45 eV per atom
crystal system = trigonal
calculated volume = 26.273 Å³ per atom

Unit cell a=5.2858 b=5.2858 c=9.2069 alpha=73.32 beta=73.32 gamma=60.00
With the nearest neighbours (Å) after each atom.
Atoms (fractional coordinates):
Tb (0.7513, 0.7513, 0.7462)  8 In 3.16-3.36
Tb (0.2487, 0.2487, 0.2538)  8 In 3.16-3.36
Pm (0.0000, 0.0000, 0.0000)  8 In 3.26-3.32
Sc (0.5000, 0.5000, 0.5000)  8 In 3.18-3.22
In (0.3778, 0.3778, 0.8666)  1 Sc 3.18, 4 Tb 3.23-3.36, 3 Pm 3.26
In (0.8726, 0.8726, 0.3823)  4 Tb 3.16-3.25, 3 Sc 3.22, 1 Pm 3.32
In (0.1274, 0.1274, 0.6177)  4 Tb 3.16-3.25, 3 Sc 3.22, 1 Pm 3.32
In (0.6222, 0.6222, 0.1334)  1 Sc 3.18, 4 Tb 3.23-3.36, 3 Pm 3.26

=====

[5]
First-principles (PBE) data for an optimized crystal structure of Hf3CuSn2, as listed in Alexandria via LeMat-Bulk.

Summary:
energy relative to the elements = -0.28 eV per atom
crystal system = orthorhombic
calculated volume = 20.662 Å³ per atom

Unit cell a=4.2363 b=10.1802 c=11.4987 alpha=90.00 beta=90.00 gamma=90.00
With the nearest neighbours (Å) after each atom.
Atoms (fractional coordinates):
Hf (0.2500, 0.3852, 0.0244)  1 Cu 2.80, 5 Sn 2.98-3.04
Hf (0.7500, 0.6148, 0.9756)  1 Cu 2.80, 5 Sn 2.98-3.04
Hf (0.7500, 0.8852, 0.4756)  1 Cu 2.80, 5 Sn 2.98-3.04
Hf (0.2500, 0.1148, 0.5244)  1 Cu 2.80, 5 Sn 2.98-3.04
Hf (0.2500, 0.6701, 0.1885)  2 Cu 2.72, 3 Sn 3.00-3.04
Hf (0.7500, 0.3299, 0.8115)  2 Cu 2.72, 3 Sn 3.00-3.04
Hf (0.7500, 0.1701, 0.3115)  2 Cu 2.72, 3 Sn 3.00-3.04
Hf (0.2500, 0.8299, 0.6885)  2 Cu 2.72, 3 Sn 3.00-3.04
Hf (0.2500, 0.4021, 0.3687)  5 Sn 2.92-2.97, 2 Hf 3.24
Hf (0.7500, 0.5979, 0.6313)  5 Sn 2.92-2.97, 2 Hf 3.24
Hf (0.7500, 0.9021, 0.1313)  5 Sn 2.92-2.97, 2 Hf 3.24
Hf (0.2500, 0.0979, 0.8687)  5 Sn 2.92-2.97, 2 Hf 3.24
Cu (0.2500, 0.1588, 0.1631)  3 Sn 2.61-2.63, 3 Hf 2.72-2.80
Cu (0.7500, 0.8412, 0.8369)  3 Sn 2.61-2.63, 3 Hf 2.72-2.80
Cu (0.7500, 0.6588, 0.3369)  3 Sn 2.61-2.63, 3 Hf 2.72-2.80
Cu (0.2500, 0.3412, 0.6631)  3 Sn 2.61-2.63, 3 Hf 2.72-2.80
Sn (0.2500, 0.6712, 0.4687)  2 Cu 2.61
Sn (0.7500, 0.3288, 0.5313)  2 Cu 2.61
Sn (0.7500, 0.1712, 0.0313)  2 Cu 2.61
Sn (0.2500, 0.8288, 0.9687)  2 Cu 2.61
Sn (0.2500, 0.9554, 0.3042)  1 Cu 2.63
Sn (0.7500, 0.0446, 0.6958)  1 Cu 2.63
Sn (0.7500, 0.4554, 0.1958)  1 Cu 2.63
Sn (0.2500, 0.5446, 0.8042)  1 Cu 2.63

=====

[6]
First-principles (PBE) data for an optimized crystal structure of Rb2AgCl3, as listed in Alexandria via LeMat-Bulk.

Summary:
formation energy (no corrections) = -8.63 eV per formula unit
crystal system = monoclinic
calculated volume = 35.030 Å³ per atom
polymorph energy (0 for the lowest one) = 0.13 eV/f.u.

Unit cell a=8.3159 b=7.8070 c=7.8070 alpha=62.68 beta=72.17 gamma=72.17
With the nearest neighbours (Å) after each atom.
Atoms (fractional coordinates):
Rb (0.6688, 0.1680, 0.5164)  6 Cl 3.28-3.42
Rb (0.1688, 0.5164, 0.1680)  6 Cl 3.28-3.42
Rb (0.8312, 0.4836, 0.8320)  6 Cl 3.28-3.42
Rb (0.3312, 0.8320, 0.4836)  6 Cl 3.28-3.42
Ag (0.7500, 0.9151, 0.0849)  3 Cl 2.48-2.58
Ag (0.2500, 0.0849, 0.9151)  3 Cl 2.48-2.58
Cl (0.2500, 0.4031, 0.5969)  1 Ag 2.58
Cl (0.7500, 0.5969, 0.4031)  1 Ag 2.58
Cl (0.9641, 0.8639, 0.8028)  1 Ag 2.48
Cl (0.5359, 0.1972, 0.1361)  1 Ag 2.48
Cl (0.4641, 0.8028, 0.8639)  1 Ag 2.48
Cl (0.0359, 0.1361, 0.1972)  1 Ag 2.48

=====

[7]
First-principles (PBE) data for an optimized crystal structure of TaAs2P, as listed in Alexandria via LeMat-Bulk.

Summary:
energy relative to the elements = 0.09 eV per atom
crystal system = orthorhombic
calculated volume = 17.778 Å³ per atom

Unit cell a=5.1884 b=3.7028 c=3.7025 alpha=88.69 beta=90.00 gamma=90.00
With the nearest neighbours (Å) after each atom.
Atoms (fractional coordinates):
As (0.0000, 0.9816, 0.9813)  3 As 2.45-2.60
As (0.0000, 0.5184, 0.5187)  3 As 2.45-2.60
P (0.5000, 0.2500, 0.2500)  4 Ta 2.59-2.65
Ta (0.5000, 0.7500, 0.7500)  4 P 2.59-2.65, 4 As 2.87

=====

[8]
First-principles (PBE) data for an optimized crystal structure of TaTlSe3, as listed in Alexandria via LeMat-Bulk.

Summary:
formation energy (no corrections) = -3.08 eV per formula unit
crystal system = monoclinic
calculated volume = 32.768 Å³ per atom
polymorph energy (0 for the lowest one) = 0.12 eV/f.u.

Unit cell a=6.7532 b=14.4708 c=8.2994 alpha=126.10 beta=90.00 gamma=90.00
With the nearest neighbours (Å) after each atom.
Atoms (fractional coordinates):
Ta (0.2518, 0.4437, 0.9267)  5 Se 2.38-2.61
Ta (0.7482, 0.5563, 0.0733)  5 Se 2.38-2.61
Ta (0.7518, 0.0563, 0.0733)  5 Se 2.38-2.61
Ta (0.2482, 0.9437, 0.9267)  5 Se 2.38-2.61
Tl (0.6841, 0.6993, 0.6835)  4 Se 3.17-3.45
Tl (0.3159, 0.3007, 0.3165)  4 Se 3.17-3.45
Tl (0.1841, 0.8007, 0.3165)  4 Se 3.17-3.45
Tl (0.8159, 0.1993, 0.6835)  4 Se 3.17-3.45
Se (0.0263, 0.5693, 0.8802)  2 Ta 2.55-2.57
Se (0.9737, 0.4307, 0.1198)  2 Ta 2.55-2.57
Se (0.5263, 0.9307, 0.1198)  2 Ta 2.55-2.57
Se (0.4737, 0.0693, 0.8802)  2 Ta 2.55-2.57
Se (0.5143, 0.5275, 0.8150)  2 Ta 2.49-2.61
Se (0.4857, 0.4725, 0.1850)  2 Ta 2.49-2.61
Se (0.0143, 0.9725, 0.1850)  2 Ta 2.49-2.61
Se (0.9857, 0.0275, 0.8150)  2 Ta 2.49-2.61
Se (0.2642, 0.2491, 0.6435)  1 Ta 2.38
Se (0.7358, 0.7509, 0.3565)  1 Ta 2.38
Se (0.7642, 0.2509, 0.3565)  1 Ta 2.38
Se (0.2358, 0.7491, 0.6435)  1 Ta 2.38